This record from Alexandria via LeMat-Bulk describes crystalline Pa2N3 at its relaxed geometry. The functional is GGA-PBE.

Output
**Calculated volume**: 76.3 Å³/f.u.
**ΔE_f (raw)**: -1.54 eV/atom

a = 5.9882 Å, b = 6.0077 Å, c = 8.4825 Å
α = 90.00°, β = 90.00°, γ = 90.00°
Atoms (fractional coordinates):
1 Pa 0.2493 0.9709 0.1140
2 Pa 0.2507 0.4709 0.3860
3 Pa 0.2493 0.5291 0.8860
4 Pa 0.2507 0.0291 0.6140
5 Pa 0.7507 0.0291 0.8860
6 Pa 0.7493 0.5291 0.6140
7 Pa 0.7507 0.4709 0.1140
8 Pa 0.7493 0.9709 0.3860
9 N 0.3945 0.8959 0.8544
10 N 0.1055 0.3959 0.6456
11 N 0.3945 0.6041 0.1456
12 N 0.1055 0.1041 0.3544
13 N 0.6055 0.1041 0.1456
14 N 0.8945 0.6041 0.3544
15 N 0.6055 0.3959 0.8544
16 N 0.8945 0.8959 0.6456
17 N 0.9557 0.7500 0.0000
18 N 0.5443 0.2500 0.5000
19 N 0.0443 0.2500 0.0000
20 N 0.4557 0.7500 0.5000

This record from Alexandria via LeMat-Bulk describes crystalline Ca3W2N4 at its relaxed geometry. The functional is GGA-PBE.

Output
**Calculated volume**: 134.1 Å³/f.u.
**ΔE_f (raw)**: -0.50 eV/atom
**E above lowest polymorph**: 0.112 eV per atom

a = 7.0089 Å, b = 7.0089 Å, c = 5.6298 Å
α = 89.91°, β = 89.91°, γ = 75.88°
Atoms (fractional coordinates):
1 Ca 0.9860 0.2425 0.0284
2 Ca 0.7575 0.0140 0.4716
3 Ca 0.0140 0.7575 0.9716
4 Ca 0.2425 0.9860 0.5284
5 Ca 0.6061 0.3939 0.7500
6 Ca 0.3939 0.6061 0.2500
7 W 0.1750 0.4298 0.6002
8 W 0.5702 0.8250 0.8998
9 W 0.8250 0.5702 0.3998
10 W 0.4298 0.1750 0.1002
11 N 0.9583 0.2866 0.4980
12 N 0.7134 0.0417 0.0020
13 N 0.0417 0.7134 0.5020
14 N 0.2866 0.9583 0.9980
15 N 0.2652 0.4153 0.9305
16 N 0.5847 0.7348 0.5695
17 N 0.7348 0.5847 0.0695
18 N 0.4153 0.2652 0.4305

This record from Alexandria via LeMat-Bulk describes crystalline Lu2AlPt at its relaxed geometry. The functional is GGA-PBE.

Output
**Calculated volume**: 84.3 Å³/f.u.
**Formation enthalpy at 0 K**: -0.795 eV per atom
**E above lowest polymorph**: 0.064 eV per atom

a = 4.9210 Å, b = 4.9210 Å, c = 4.9210 Å
α = 60.00°, β = 60.00°, γ = 60.00°
Atoms (fractional coordinates):
1 Lu 0.2500 0.2500 0.2500
2 Lu 0.7500 0.7500 0.7500
3 Al 0.0000 0.0000 0.0000
4 Pt 0.5000 0.5000 0.5000

This record from Alexandria via LeMat-Bulk describes crystalline HgPdRh at its relaxed geometry. The functional is GGA-PBE.

Output
**Calculated volume**: 50.2 Å³/f.u.
**Formation enthalpy at 0 K**: 0.107 eV per atom

a = 2.9275 Å, b = 2.9275 Å, c = 6.2121 Å
α = 103.63°, β = 103.63°, γ = 90.00°
Atoms (fractional coordinates):
1 Rh 0.3398 0.3398 0.6796
2 Hg 0.6676 0.6676 0.3353
3 Pd 0.9925 0.9925 0.9851